(1)
Computed, not measured: crystalline HfGe3F at its relaxed geometry at the PBE level of DFT.

symmetry	Pm-3m (221)
total moment	0.00	μB/atom
relative energy among the computed polymorphs	0.0	kJ/mol of formula units
energy	-26.726	eV/f.u.

Cell: 4.4662 4.4662 4.4662 Å, 90.00 90.00 90.00°
Last column: nearest neighbours and their distance in Å.
Fractional coordinates of all 5 atoms:
Hf 0.0000 0.0000 0.0000  12 Ge 3.16
Ge 0.0000 0.5000 0.5000  2 F 2.23
Ge 0.5000 0.0000 0.5000  2 F 2.23
Ge 0.5000 0.5000 0.0000  2 F 2.23
F 0.5000 0.5000 0.5000  6 Ge 2.23

=====

(2)
Computed, not measured: crystalline ScPS4I at its relaxed geometry at the PBE level of DFT.

symmetry	C2/m (12)
total moment	0.00	μB/atom
energy	-34.539	eV/f.u.

Cell: 7.4608 7.4608 9.0798 Å, 101.59 101.59 60.45°
Last column: nearest neighbours and their distance in Å.
Fractional coordinates of all 14 atoms:
Sc 0.1637 0.1637 0.0052  4 S 2.60-2.66, 1 I 2.83
Sc 0.8363 0.8363 0.9948  4 S 2.60-2.66, 1 I 2.83
P 0.3468 0.3468 0.7618  4 S 1.92-2.13
P 0.6532 0.6532 0.2382  4 S 1.92-2.13
S 0.0598 0.4640 0.8489  1 P 2.13
S 0.3544 0.3544 0.5532  1 P 1.92
S 0.4640 0.0598 0.8489  1 P 2.13
S 0.4934 0.4934 0.1136  1 P 2.11, 1 S 2.11
S 0.5066 0.5066 0.8864  1 P 2.11, 1 S 2.11
S 0.5360 0.9402 0.1511  1 P 2.13
S 0.6456 0.6456 0.4468  1 P 1.92
S 0.9402 0.5360 0.1511  1 P 2.13
I 0.0263 0.0263 0.2248  2 Sc 2.83-2.96
I 0.9737 0.9737 0.7752  2 Sc 2.83-2.96

=====

(3)
Computed, not measured: crystalline KGaP2Pt at its relaxed geometry at the PBE level of DFT.

symmetry	P4/mmm (123)
total moment	0.00	μB/atom
calculated formation energy	1980	meV/atom
energy	-11.084	eV/f.u.

Cell: 5.1466 5.1466 5.1802 Å, 90.00 90.00 90.00°
Last column: nearest neighbours and their distance in Å.
Fractional coordinates of all 5 atoms:
K 0.0000 0.0000 0.0000  4 P 2.57, 2 Ga 2.59
Ga 0.0000 0.0000 0.5000  2 K 2.59
P 0.0000 0.5000 0.0000  2 K 2.57
P 0.5000 0.0000 0.0000  2 K 2.57
Pt 0.5000 0.5000 0.5000  4 Ga 3.64, 8 P 3.65

=====

What is the formula in the third record?
KGaP2Pt

=====

total moment of number 3 (KGaP2Pt)?
0.00 μB/atom

=====

energy of number 1 (HfGe3F)?
-26.726 eV/f.u.

=====

What is the energy in the second record?
-34.539 eV/f.u.